A relaxed Ho2ZnS4 crystal, computed with PBE.

extended XYZ file:
```
28
Lattice="-7.934 0.004 -10.862 -4.965 -4.885 3.625 -3.170 4.941 2.317" Properties=species:S:1:pos:R:3 pbc="T T T"
Ho -8.034 0.030 -2.460
Ho -5.845 -3.638 -0.152
Ho 0.000 0.000 0.000
Ho -10.224 3.699 -4.768
Ho -5.552 2.473 -4.272
Ho -2.482 -2.442 1.812
Ho -4.703 1.275 -0.472
Ho -11.365 -1.214 -4.448
S -8.634 -1.080 3.500
S -2.612 0.044 0.732
S -6.284 1.232 1.784
S -9.527 0.073 -0.194
S -10.209 1.169 -3.678
S -13.456 0.017 -5.652
S -5.860 -1.108 -1.242
S -9.785 -1.171 -6.704
S -12.559 -1.144 -1.962
S -7.435 1.141 -8.420
S -9.275 -2.305 -3.054
S -10.916 2.610 -7.183
S -5.153 -2.549 2.263
S -6.542 -0.012 -4.726
S -3.510 1.205 -2.958
S -6.794 2.366 -1.866
Zn -9.749 0.810 -8.011
Zn -4.767 -0.776 -3.323
Zn -6.319 -0.749 3.091
Zn -11.302 0.837 -1.597
```

Mass density (Mg/m³): 5.22
DFT total energy (eV per atom): -5.549

A relaxed Ho2ZrS5 crystal, computed with PBE.

extended XYZ file:
```
32
Lattice="11.560 0.000 0.000 0.000 7.721 0.000 0.000 0.000 7.236" Properties=species:S:1:pos:R:3 pbc="T T T"
Zr 5.705 5.791 3.043
Zr 11.484 5.791 0.575
Zr 5.855 1.930 4.193
Zr 0.075 1.930 6.662
S 9.457 5.791 6.007
S 7.883 1.930 2.389
S 4.672 0.293 2.453
S 1.108 4.153 6.071
S 3.362 1.930 5.008
S 10.451 0.293 1.165
S 4.672 3.567 2.453
S 11.532 5.791 3.267
S 0.028 1.930 3.969
S 6.888 4.153 4.784
S 10.451 3.567 1.165
S 5.752 5.791 0.351
S 6.888 7.428 4.784
S 1.108 7.428 6.071
S 9.142 1.930 5.846
S 2.103 1.930 1.229
S 3.677 5.791 4.847
S 5.807 1.930 6.885
S 8.198 5.791 2.228
S 2.418 5.791 1.390
Ho 9.488 0.022 3.770
Ho 3.708 0.022 7.085
Ho 7.852 3.883 0.152
Ho 2.072 7.698 3.467
Ho 2.072 3.883 3.467
Ho 7.852 7.698 0.152
Ho 3.708 3.838 7.085
Ho 9.488 3.838 3.770
```

Mass density (Mg/m³): 5.98
DFT total energy (eV per atom): -6.657

A relaxed Ho2Sb crystal, computed with PBE.

extended XYZ file:
```
6
Lattice="0.000 4.384 4.384 4.384 0.000 4.384 4.384 4.384 0.000" Properties=species:S:1:pos:R:3 pbc="T T T"
Ho 5.480 5.480 5.480
Ho 3.288 3.288 5.480
Ho 3.288 5.480 3.288
Ho 5.480 3.288 3.288
Sb 2.192 2.192 2.192
Sb 0.000 0.000 0.000
```

Mass density (Mg/m³): 8.90
DFT total energy (eV per atom): -4.494